[1]
Na3LiHg: relaxed, PBE.

Calculated values
The symmetry is Pnma, No. 62. Its formation energy from the elements is -88 meV per atom. The calculation puts the total energy at -1.323 eV per atom. As for the energy relative to the lowest polymorph listed for this composition: 0.0116 eV per atom. As for the density of states at the Fermi level: 7.7 states/eV/cell.

Lattice parameters (Å, degrees): 6.2024 9.1570 10.3231 90.00 90.00 90.00
Element x y z (fractional)
1 Na 0.7455 0.2500 0.8770
2 Na 0.2389 0.0510 0.8752
3 Na 0.7545 0.2500 0.3770
4 Na 0.2611 0.4490 0.3752
5 Na 0.7611 0.5510 0.1248
6 Na 0.2455 0.7500 0.6230
7 Li 0.0369 0.2500 0.6255
8 Na 0.2389 0.4490 0.8752
9 Na 0.2611 0.0510 0.3752
10 Hg 0.0291 0.2500 0.1280
11 Li 0.9631 0.7500 0.3745
12 Li 0.5369 0.7500 0.8745
13 Na 0.7389 0.5510 0.6248
14 Hg 0.9709 0.7500 0.8720
15 Hg 0.5291 0.7500 0.3720
16 Hg 0.4709 0.2500 0.6280
17 Na 0.2545 0.7500 0.1230
18 Na 0.7611 0.9490 0.1248
19 Na 0.7389 0.9490 0.6248
20 Li 0.4631 0.2500 0.1255

[2]
NaLiHg: relaxed, PBE.

Calculated values
The symmetry is P3m1, No. 156. Its formation energy from the elements is -173 meV per atom. The calculation puts the total energy at -1.351 eV per atom. As for the energy relative to the lowest polymorph listed for this composition: 0.0467 eV per atom. As for the density of states at the Fermi level: 1.5 states/eV/cell.

Lattice parameters (Å, degrees): 3.1863 4.9865 4.9865 120.00 90.00 90.00
Element x y z (fractional)
1 Na 0.6468 0.3333 0.6667
2 Li 0.2800 0.6667 0.3333
3 Hg 0.0732 0.0000 0.0000

[3]
NaLi2Hg: relaxed, PBE.

Calculated values
The symmetry is P4/mmm, No. 123. Its formation energy from the elements is -168 meV per atom. The calculation puts the total energy at -1.531 eV per atom. As for the density of states at the Fermi level: 0.9 states/eV/cell.

Lattice parameters (Å, degrees): 4.1847 4.5225 4.5225 90.00 90.00 90.00
Element x y z (fractional)
1 Hg 0.5000 0.5000 0.5000
2 Na 0.5000 0.0000 0.0000
3 Li 0.0000 0.0000 0.5000
4 Li 0.0000 0.5000 0.0000

[4]
Na2LiHg8: relaxed, PBE.

Calculated values
The symmetry is P4/mmm, No. 123. Its formation energy from the elements is -195 meV per atom. The calculation puts the total energy at -0.828 eV per atom. As for the energy relative to the lowest polymorph listed for this composition: 0.0000 eV per atom. As for the density of states at the Fermi level: 1.8 states/eV/cell.

Lattice parameters (Å, degrees): 4.6523 4.6523 12.6509 90.00 90.00 90.00
Element x y z (fractional)
1 Hg 0.5000 0.0000 0.1280
2 Hg 0.0000 0.5000 0.1280
3 Na 0.0000 0.0000 0.3157
4 Hg 0.5000 0.5000 0.3158
5 Hg 0.5000 0.0000 0.5000
6 Li 0.0000 0.0000 0.0000
7 Hg 0.5000 0.5000 0.6842
8 Hg 0.0000 0.5000 0.8720
9 Na 0.0000 0.0000 0.6843
10 Hg 0.0000 0.5000 0.5000
11 Hg 0.5000 0.0000 0.8720

[5]
NaLi12Hg6: relaxed, PBE.

Calculated values
The symmetry is R-3, No. 148. Its formation energy from the elements is -235 meV per atom. The calculation puts the total energy at -1.608 eV per atom. As for the energy relative to the lowest polymorph listed for this composition: 0.0000 eV per atom. As for the density of states at the Fermi level: 7.0 states/eV/cell.

Lattice parameters (Å, degrees): 7.2149 7.2149 7.2149 91.05 91.05 91.05
Element x y z (fractional)
1 Hg 0.7037 0.2775 0.1245
2 Li 0.1972 0.4740 0.5755
3 Li 0.5260 0.4245 0.8028
4 Hg 0.8755 0.2963 0.7225
5 Li 0.3872 0.0158 0.1645
6 Li 0.8355 0.6128 0.9842
7 Li 0.0158 0.1645 0.3872
8 Hg 0.2775 0.1245 0.7037
9 Na 0.0000 0.0000 0.0000
10 Li 0.8028 0.5260 0.4245
11 Hg 0.1245 0.7037 0.2775
12 Li 0.6128 0.9842 0.8355
13 Li 0.4740 0.5755 0.1972
14 Li 0.9842 0.8355 0.6128
15 Li 0.1645 0.3872 0.0158
16 Li 0.4245 0.8028 0.5260
17 Li 0.5755 0.1972 0.4740
18 Hg 0.7225 0.8755 0.2963
19 Hg 0.2963 0.7225 0.8755

[6]
Na3LiHg4: relaxed, PBE.

Calculated values
The symmetry is P4/mmm, No. 123. Its formation energy from the elements is -273 meV per atom. The calculation puts the total energy at -1.158 eV per atom. As for the energy relative to the lowest polymorph listed for this composition: 0.0000 eV per atom. As for the density of states at the Fermi level: 2.6 states/eV/cell.

Lattice parameters (Å, degrees): 3.5845 3.5845 15.0066 90.00 90.00 90.00
Element x y z (fractional)
1 Na 0.5000 0.5000 0.2342
2 Li 0.5000 0.5000 0.0000
3 Na 0.5000 0.5000 0.5000
4 Na 0.5000 0.5000 0.7658
5 Hg 0.0000 0.0000 0.1020
6 Hg 0.0000 0.0000 0.6316
7 Hg 0.0000 0.0000 0.3684
8 Hg 0.0000 0.0000 0.8980

- Among the records above, which one has the highest formation energy from the elements?
  Na3LiHg

- Look up the formation energy from the elements of the fourth one.
  -195 meV per atom